Computed, not measured: Ac2ScMnSe5 after structural relaxation at the GGA-PBE level of DFT.

Cell and atoms, written as POSCAR:
```
Ac2ScMnSe5
1.0
-1.804 -1.930 -3.296
5.369 -6.549 3.602
-9.370 -3.676 7.281
Ac Sc Mn Se
4 2 2 10
Cartesian
-5.173 -9.543 5.712
-5.420 -4.316 5.494
-1.773 -3.060 2.762
0.719 -7.406 1.236
-2.958 -7.426 3.260
1.645 -2.967 0.837
-9.251 -5.457 5.552
-0.370 -8.196 5.001
3.100 -5.285 1.397
-7.238 -7.046 5.381
-8.181 -3.823 4.010
-3.566 -6.827 5.949
-2.073 -9.814 4.174
-4.288 -5.058 2.602
-0.650 -5.927 3.826
1.870 -8.531 3.971
-0.549 -4.665 0.325
-0.108 -0.919 0.597
```

Results
ΔE_f (raw) ... -1609 meV per atom
N(E_F) ... 4.1 states/eV/f.u.
Total magnetization ... 0.469 μB per atom
Space group ... Cmc2_1